VASP calculation (PBE) on crystalline PmSm6Y3Tm2 at its relaxed geometry.

DFT formation energy = 0.015 eV/atom
magnetic moment = 0.0 μB/cell
electronic total energy = -5.102 eV/atom

Unit cell a=6.230 b=6.230 c=11.859 alpha=95.01 beta=95.01 gamma=119.98
Sites, in units of the cell vectors:
Y 0.500 0.500 0.500
Y 0.167 0.833 0.500
Sm 0.251 0.251 0.751
Sm 0.582 0.917 0.751
Tm 0.667 0.333 0.000
Tm 0.333 0.667 0.000
Sm 0.083 0.418 0.249
Y 0.833 0.167 0.500
Sm 0.418 0.083 0.249
Pm 0.000 0.000 0.000
Sm 0.749 0.749 0.249
Sm 0.917 0.582 0.751

VASP calculation (PBE) on crystalline ReSbTe2I at its relaxed geometry.

offset from the most stable computed form = 207 meV/atom
magnetic moment = 0.0 μB/cell
raw formation energy = 3.674 eV per formula unit
electronic total energy = -4.146 eV/atom

Unit cell a=5.192 b=5.192 c=5.521 alpha=90.00 beta=90.00 gamma=90.00
Sites, in units of the cell vectors:
Te 0.000 0.500 0.000
Sb 0.500 0.500 0.500
I 0.000 0.000 0.500
Te 0.500 0.000 0.000
Re 0.000 0.000 0.000

VASP calculation (PBE) on crystalline CsPmI4 at its relaxed geometry.

offset from the most stable computed form = 47 meV/atom
magnetic moment = 0.0 μB/cell
raw formation energy = -8.533 eV per formula unit
electronic total energy = -3.390 eV/atom

Unit cell a=7.674 b=9.919 c=9.694 alpha=114.48 beta=105.67 gamma=104.22
Sites, in units of the cell vectors:
I 0.355 0.679 0.874
Pm 0.750 0.000 0.999
I 0.185 0.255 0.307
I 0.645 0.321 0.126
I 0.019 0.195 0.874
I 0.378 0.948 0.693
Cs 0.614 0.364 0.728
I 0.622 0.052 0.307
Cs 0.386 0.636 0.272
I 0.815 0.745 0.693
Pm 0.250 0.000 0.001
I 0.981 0.805 0.126

VASP calculation (PBE) on crystalline Nd2Sm7Y3 at its relaxed geometry.

offset from the most stable computed form = 0 meV/atom
DFT formation energy = 0.081 eV/atom
magnetic moment = 0.0 μB/cell
electronic total energy = -5.082 eV/atom

Unit cell a=3.645 b=5.896 c=19.027 alpha=93.68 beta=90.00 gamma=90.00
Sites, in units of the cell vectors:
Y 0.000 0.780 0.631
Y 0.500 0.500 0.000
Sm 0.500 0.818 0.822
Sm 0.000 0.680 0.144
Y 0.000 0.220 0.369
Nd 0.500 0.293 0.704
Sm 0.500 0.742 0.463
Sm 0.500 0.258 0.537
Sm 0.000 0.320 0.856
Nd 0.500 0.707 0.296
Sm 0.500 0.182 0.178
Sm 0.000 0.000 0.000